Entry from OQMD: a relaxed YScCoGe crystal (GGA-PBE).

abc: 4.638 4.638 4.638
angles: 60.00 60.00 60.00
Fractional coordinates of all 4 atoms:
Y: 0.000 0.000 0.000
Sc: 0.250 0.250 0.250
Co: 0.750 0.750 0.750
Ge: 0.500 0.500 0.500

Values from the calculation:
electronic total energy	-6.26	eV/atom